No. 1
This record from Alexandria describes a PBEsol-optimized structure of VNiSb. The functional is SCAN.

The space group is F-43m (No. 216) and the conventional cell measures 5.811, 5.811 and 5.811 Å, with angles of 90.00, 90.00 and 90.00 degrees. The asymmetric unit holds V at (0.000, 0.000, 0.000), Ni at (0.250, 0.250, 0.750) and Sb at (0.000, 0.000, 0.500).

=====

No. 2
This record from Alexandria describes a PBEsol-optimized structure of Ni6SbW. The functional is SCAN.

The space group is Cmmm (No. 65) and the conventional cell measures 7.268, 10.255 and 10.330 Å, with angles of 90.00, 90.00 and 90.00 degrees. The asymmetric unit holds Ni at (0.000, 0.000, 0.000), Ni at (0.000, 0.000, 0.500), Ni at (0.000, 0.246, 0.240), Ni at (0.000, 0.500, 0.000), Ni at (0.000, 0.500, 0.500), Ni at (0.241, 0.124, 0.368), Ni at (0.245, 0.127, 0.120), Sb at (0.000, 0.251, 0.500), Sb at (0.000, 0.500, 0.249), W at (0.000, 0.000, 0.252) and W at (0.000, 0.246, 0.000).

=====

No. 3
This record from Alexandria describes a PBEsol-optimized structure of NiSb2W. The functional is SCAN.

The space group is P4/mmm (No. 123) and the conventional cell measures 4.529, 4.529 and 3.358 Å, with angles of 90.00, 90.00 and 90.00 degrees. The asymmetric unit holds Ni at (0.000, 0.000, 0.000), Sb at (0.000, 0.500, 0.500) and W at (0.500, 0.500, 0.000).

=====

No. 4
This record from Alexandria describes a PBEsol-optimized structure of Y2NiSb. The functional is SCAN.

The energy above the lowest structure with this stoichiometry comes out at 289 meV/atom.

The space group is I4/mmm (No. 139) and the conventional cell measures 4.781, 4.781 and 7.735 Å, with angles of 90.00, 90.00 and 90.00 degrees. The asymmetric unit holds Y at (0.000, 0.500, 0.250), Ni at (0.000, 0.000, 0.000) and Sb at (0.000, 0.000, 0.500).

=====

No. 5
This record from Alexandria describes a PBEsol-optimized structure of YNiSb. The functional is SCAN.

The space group is P-6m2 (No. 187) and the conventional cell measures 4.2435, 4.2435 and 3.9581 Å, with angles of 90.00, 90.00 and 120.00 degrees. The asymmetric unit holds Y at (0.0000, 0.0000, 0.0000), Ni at (0.3333, 0.6667, 0.5000) and Sb at (0.6667, 0.3333, 0.5000).

=====

No. 6
This record from Alexandria describes a PBEsol-optimized structure of Y2NiSb. The functional is SCAN.

The energy above the lowest structure with this stoichiometry comes out at 0 meV/atom.

The space group is Amm2 (No. 38) and the conventional cell measures 4.124, 4.087 and 10.938 Å, with angles of 90.00, 90.00 and 90.00 degrees. The asymmetric unit holds Y at (0.000, 0.000, 0.000), Y at (0.500, 0.000, 0.293), Ni at (0.500, 0.000, 0.554) and Sb at (0.000, 0.000, 0.710).

=====

No. 7
This record from Alexandria describes a PBEsol-optimized structure of Y2NiSb. The functional is SCAN.

The energy above the lowest structure with this stoichiometry comes out at 301 meV/atom.

The space group is I-4m2 (No. 119) and the conventional cell measures 4.167, 4.167 and 10.228 Å, with angles of 90.00, 90.00 and 90.00 degrees. The asymmetric unit holds Y at (0.000, 0.000, 0.000), Y at (0.000, 0.500, 0.250), Ni at (0.000, 0.000, 0.500) and Sb at (0.000, 0.500, 0.750).

=====

No. 8
This record from Alexandria describes a PBEsol-optimized structure of Zn3NiSb. The functional is SCAN.

The space group is Pm-3m (No. 221) and the conventional cell measures 4.505, 4.505 and 4.505 Å, with angles of 90.00, 90.00 and 90.00 degrees. The asymmetric unit holds Zn at (0.000, 0.000, 0.500), Ni at (0.000, 0.000, 0.000) and Sb at (0.500, 0.500, 0.500).

=====

no.,ΔE_f (raw) (eV/atom)
1,-0.2390
2,-0.0053
3,0.5880
4,-0.5147
5,-0.9089
6,-0.8041
7,-0.5035
8,0.2975